Here is an optimized crystal structure of Ce7InFe2 from the Alexandria database. Energies are from PBE.

abc: 7.951 7.951 4.804
angles: 90.00 90.00 113.16
Fractional positions:
Ce 0.000 0.000 0.000
Ce 0.200 0.460 0.000
Ce 0.200 0.800 0.500
Ce 0.460 0.200 0.000
Ce 0.540 0.800 0.000
Ce 0.800 0.200 0.500
Ce 0.800 0.540 0.000
In 0.500 0.500 0.500
Fe 0.178 0.822 0.000
Fe 0.822 0.178 0.000

Computed properties:
Space-group type: Cmmm
DFT formation energy in meV/atom: 5
D(E_F) in states/eV/f.u.: 27.50